DFT (PBE) results for AlAuSe2N after structural relaxation.

Geometry as POSCAR:
```
AlAuSe2N
1.0
5.310 0.000 0.000
0.000 5.310 0.000
0.000 0.000 3.782
Se N Al Au
2 1 1 1
Direct
0.000 0.500 0.000 Se
0.500 0.000 0.000 Se
0.000 0.000 0.500 N
0.500 0.500 0.500 Al
0.000 0.000 0.000 Au
```

Results
E_form (uncorrected) ... 958 meV per atom
Energy above the most stable polymorph in this dataset ... 494 meV/atom

***

DFT (PBE) results for AcPrS after structural relaxation.

Geometry as POSCAR:
```
AcPrS
1.0
-5.296 1.408 -6.012
-6.646 -9.247 3.689
1.220 7.106 0.589
S Ac Pr
4 4 4
Direct
0.250 0.500 0.000 S
0.750 0.500 0.000 S
0.250 0.000 0.000 S
0.750 0.000 0.000 S
0.250 0.250 0.000 Ac
0.250 0.750 0.000 Ac
0.750 0.750 0.000 Ac
0.750 0.250 0.000 Ac
0.000 0.250 0.500 Pr
0.000 0.750 0.500 Pr
0.500 0.250 0.500 Pr
0.500 0.750 0.500 Pr
```

Results
E_form (uncorrected) ... -1236 meV per atom
Energy above the most stable polymorph in this dataset ... 0 meV/atom

***

DFT (PBE) results for Ac2AsRu after structural relaxation.

Geometry as POSCAR:
```
Ac2AsRu
1.0
-5.220 -0.455 -1.175
-1.527 -2.387 -4.562
-2.377 -4.813 0.153
Ac Ru As
2 1 1
Direct
0.250 0.250 0.250 Ac
0.750 0.750 0.750 Ac
0.500 0.500 0.500 Ru
0.000 0.000 0.000 As
```

Results
E_form ... -361 meV per atom
Energy above the most stable polymorph in this dataset ... 72 meV/atom

***

DFT (PBE) results for Zr4Sc3Ga4 after structural relaxation.

Geometry as POSCAR:
```
Zr4Sc3Ga4
1.0
-1.550 -1.363 2.459
7.216 0.426 4.783
-5.077 7.930 -0.901
Ga Zr Sc
4 4 3
Direct
0.500 0.225 0.000 Ga
0.730 0.230 0.459 Ga
0.500 0.775 0.000 Ga
0.270 0.770 0.541 Ga
0.668 0.855 0.336 Zr
0.668 0.481 0.336 Zr
0.332 0.145 0.664 Zr
0.332 0.519 0.664 Zr
0.095 0.095 0.190 Sc
0.000 0.500 0.000 Sc
0.905 0.905 0.810 Sc
```

Results
E_form ... -401 meV per atom

***

DFT (PBE) results for ErCo2Si after structural relaxation.

Geometry as POSCAR:
```
ErCo2Si
1.0
-0.356 3.237 1.841
-3.723 -0.353 -0.100
0.206 -4.380 7.740
Co Si Er
4 2 2
Direct
0.500 0.500 0.500 Co
0.000 0.000 0.500 Co
0.500 0.000 0.907 Co
0.000 0.500 0.093 Co
0.500 0.000 0.645 Si
0.000 0.500 0.355 Si
0.000 0.500 0.783 Er
0.500 0.000 0.217 Er
```

Results
E_form (uncorrected) ... -417 meV per atom

***

DFT (PBE) results for BeSbIr3 after structural relaxation.

Geometry as POSCAR:
```
BeSbIr3
1.0
4.249 0.000 0.000
0.000 4.249 0.000
0.000 0.000 4.249
Be Sb Ir
1 1 3
Direct
0.000 0.000 0.000 Be
0.500 0.500 0.500 Sb
0.000 0.500 0.000 Ir
0.500 0.000 0.000 Ir
0.000 0.000 0.500 Ir
```

Results
E_form (uncorrected) ... 336 meV per atom
Energy above the most stable polymorph in this dataset ... 0 meV/atom

***

DFT (PBE) results for Tl2AgSe2 after structural relaxation.

Geometry as POSCAR:
```
Tl2AgSe2
1.0
-0.882 4.312 -6.828
-4.857 -5.770 -3.016
-3.155 1.836 1.567
Se Ag Tl
4 2 4
Direct
0.160 0.660 0.500 Se
0.660 0.840 0.500 Se
0.840 0.340 0.500 Se
0.340 0.160 0.500 Se
0.500 0.500 0.000 Ag
0.000 0.000 0.000 Ag
0.147 0.353 0.000 Tl
0.853 0.647 0.000 Tl
0.647 0.147 0.000 Tl
0.353 0.853 0.000 Tl
```

Results
E_form (uncorrected) ... 95 meV per atom
Energy above the most stable polymorph in this dataset ... 305 meV/atom

***

DFT (PBE) results for ZnPtSe2 after structural relaxation.

Geometry as POSCAR:
```
ZnPtSe2
1.0
6.563 -0.002 -0.001
5.455 3.649 -0.001
5.455 1.655 3.252
Zn Se Pt
1 2 1
Direct
0.250 0.250 0.250 Zn
0.009 0.009 0.009 Se
0.491 0.491 0.491 Se
0.750 0.750 0.750 Pt
```

Results
E_form (uncorrected) ... -211 meV per atom

***

DFT (PBE) results for TaFe2Re after structural relaxation.

Geometry as POSCAR:
```
TaFe2Re
1.0
4.434 0.032 0.000
-1.034 4.312 0.000
0.000 0.000 2.802
Ta Fe Re
1 2 1
Direct
0.000 0.500 0.500 Ta
0.500 0.500 0.000 Fe
0.000 0.000 0.000 Fe
0.500 0.000 0.500 Re
```

Results
E_form ... 54 meV per atom

***

DFT (PBE) results for Ho4TlRe after structural relaxation.

Geometry as POSCAR:
```
Ho4TlRe
1.0
6.060 0.263 -1.165
-2.133 7.035 -2.699
0.208 -0.255 7.824
Re Ho Tl
2 8 2
Direct
0.750 0.000 0.000 Re
0.250 0.000 0.000 Re
0.453 0.723 0.062 Ho
0.608 0.199 0.352 Ho
0.108 0.352 0.199 Ho
0.892 0.648 0.801 Ho
0.953 0.062 0.723 Ho
0.047 0.938 0.277 Ho
0.392 0.801 0.648 Ho
0.547 0.277 0.938 Ho
0.250 0.375 0.625 Tl
0.750 0.625 0.375 Tl
```

Results
E_form ... -176 meV per atom

***

DFT (PBE) results for DyTm6Th4 after structural relaxation.

Geometry as POSCAR:
```
DyTm6Th4
1.0
-0.992 -1.616 2.823
-3.262 -3.565 -3.187
15.854 -8.569 -1.384
Th Tm Dy
4 6 1
Direct
0.544 0.544 0.088 Th
0.182 0.182 0.364 Th
0.818 0.818 0.636 Th
0.456 0.456 0.912 Th
0.869 0.369 0.738 Tm
0.596 0.096 0.192 Tm
0.131 0.631 0.262 Tm
0.767 0.267 0.534 Tm
0.404 0.904 0.808 Tm
0.233 0.733 0.466 Tm
0.000 0.000 0.000 Dy
```

Results
E_form ... 163 meV per atom
Energy above the most stable polymorph in this dataset ... 0 meV/atom

***

DFT (PBE) results for WCl2 after structural relaxation.

Geometry as POSCAR:
```
WCl2
1.0
3.112 0.000 0.000
-1.556 2.695 0.000
0.000 0.000 7.408
Cl W
2 1
Direct
0.667 0.333 0.237 Cl
0.333 0.667 0.763 Cl
0.000 0.000 0.000 W
```

Results
E_form (uncorrected) ... -150 meV per atom
Energy above the most stable polymorph in this dataset ... 580 meV/atom

***

| no. | mass density (Mg/m³) | total DFT energy (no corrections) (Ry/atom) |
| --- | --- | --- |
| 1 | 6.16 | -0.2576 |
| 2 | 6.72 | -0.4097 |
| 3 | 9.55 | -0.4334 |
| 4 | 5.63 | -0.4657 |
| 5 | 8.36 | -0.4753 |
| 6 | 15.31 | -0.4814 |
| 7 | 8.55 | -0.2070 |
| 8 | 8.92 | -0.2779 |
| 9 | 14.82 | -0.7535 |
| 10 | 10.42 | -0.4187 |
| 11 | 9.99 | -0.3964 |
| 12 | 6.81 | -0.4189 |